No. 1
The following is a DFT calculation (GGA-PBE) of a geometry-optimized LiYHf structure.

abc: 16.2200 3.3432 3.3432
angles: 120.03 101.76 78.24
Last column: nearest neighbours and their distance in Å.
Fractional positions:
Y 0.9159 0.8616 0.1384  3 Hf 3.28, 6 Y 3.34, 3 Li 3.42-3.44
Y 0.4254 0.8522 0.1478  3 Hf 3.28, 6 Y 3.34, 3 Li 3.39-3.40
Hf 0.7476 0.6395 0.3605  9 Hf 3.10-3.34, 3 Y 3.28
Hf 0.5938 0.0745 0.9255  9 Hf 3.10-3.34, 3 Y 3.28
Li 0.2484 0.3036 0.6964  9 Li 3.08-3.34, 3 Y 3.39-3.40
Li 0.0959 0.0730 0.9270  9 Li 3.08-3.34, 3 Y 3.42-3.44

Values from the calculation:
The crystal system is monoclinic. For the calculated formation energy, the calculation gives 0.109 eV/atom. The size of the total moment is 0.00 μB per formula unit. The calculation puts the final energy at -36.007 eV/cell. As for the energy above the lowest structure with this stoichiometry: 11 meV/atom.



No. 2
The following is a DFT calculation (GGA-PBE) of a geometry-optimized CeHo3Tl4 structure.

abc: 5.3994 7.6153 10.8020
angles: 90.00 90.00 90.00
Last column: nearest neighbours and their distance in Å.
Fractional positions:
Tl 0.5000 0.7576 0.0000  6 Ho 3.27-3.34, 2 Ce 3.34
Tl 0.5000 0.7576 0.5000  6 Ho 3.27-3.34, 2 Ce 3.34
Tl 0.5000 0.2424 0.0000  6 Ho 3.27-3.34, 2 Ce 3.34
Tl 0.5000 0.2424 0.5000  6 Ho 3.27-3.34, 2 Ce 3.34
Tl 0.0041 0.7575 0.7500  6 Ho 3.27-3.34, 2 Ce 3.34
Tl 0.9959 0.7575 0.2500  6 Ho 3.27-3.34, 2 Ce 3.34
Tl 0.9959 0.2425 0.2500  6 Ho 3.27-3.34, 2 Ce 3.34
Tl 0.0041 0.2425 0.7500  6 Ho 3.27-3.34, 2 Ce 3.34
Ho 0.0000 0.0000 0.0000  8 Tl 3.27
Ho 0.0000 0.0000 0.5000  8 Tl 3.27
Ho 0.5037 0.0000 0.7500  8 Tl 3.27
Ho 0.4963 0.0000 0.2500  8 Tl 3.27
Ho 0.5032 0.5000 0.7500  8 Tl 3.33-3.34
Ho 0.4968 0.5000 0.2500  8 Tl 3.33-3.34
Ce 0.0000 0.5000 0.0000  8 Tl 3.34
Ce 0.0000 0.5000 0.5000  8 Tl 3.34

Values from the calculation:
The crystal system is orthorhombic. For the calculated formation energy, the calculation gives -0.296 eV/atom. The size of the total moment is 1.28 μB per formula unit. The calculation puts the final energy at -62.998 eV/cell. As for the energy above the lowest structure with this stoichiometry: 0 meV/atom.